(1)
# Ac6Sn2Os (PBE, optimized geometry)
data_Ac6Sn2Os
_cell_length_a 7.203
_cell_length_b 9.017
_cell_length_c 10.840
_cell_angle_alpha 90.00
_cell_angle_beta 91.56
_cell_angle_gamma 90.00
_space_group_name_H-M_alt 'P 1'
_space_group_IT_number 1
loop_
_space_group_symop_operation_xyz
'x,y,z'
loop_
_atom_site_label
_atom_site_type_symbol
_atom_site_fract_x
_atom_site_fract_y
_atom_site_fract_z
_atom_site_occupancy
Ac1 Ac 0.344 0.835 0.445 1
Ac2 Ac 0.643 0.197 0.947 1
Ac3 Ac 0.143 0.303 0.447 1
Ac4 Ac 0.156 0.335 0.055 1
Ac5 Ac 0.383 0.531 0.744 1
Ac6 Ac 0.617 0.469 0.256 1
Ac7 Ac 0.117 0.031 0.756 1
Ac8 Ac 0.357 0.803 0.053 1
Ac9 Ac 0.844 0.665 0.945 1
Ac10 Ac 0.857 0.697 0.553 1
Ac11 Ac 0.656 0.165 0.555 1
Ac12 Ac 0.883 0.969 0.244 1
Sn1 Sn 0.065 0.614 0.257 1
Sn2 Sn 0.935 0.386 0.743 1
Sn3 Sn 0.565 0.886 0.757 1
Sn4 Sn 0.435 0.114 0.243 1
Os1 Os 0.500 0.500 0.000 1
Os2 Os 0.000 0.000 0.500 1
# E_tot = -46.99 eV per formula unit
# total moment = 0.006 Bohr magnetons per cell
# ΔE_f = -345 meV per atom
# crystal system = monoclinic


(2)
# CsCaBiO3 (PBE, optimized geometry)
data_CsCaBiO3
_cell_length_a 4.668
_cell_length_b 6.326
_cell_length_c 9.937
_cell_angle_alpha 91.87
_cell_angle_beta 90.00
_cell_angle_gamma 90.00
_space_group_name_H-M_alt 'P 1'
_space_group_IT_number 1
loop_
_space_group_symop_operation_xyz
'x,y,z'
loop_
_atom_site_label
_atom_site_type_symbol
_atom_site_fract_x
_atom_site_fract_y
_atom_site_fract_z
_atom_site_occupancy
O1 O 0.750 0.253 0.765 1
O2 O 0.250 0.598 0.810 1
O3 O 0.250 0.149 0.950 1
O4 O 0.750 0.851 0.050 1
O5 O 0.250 0.747 0.235 1
O6 O 0.750 0.402 0.190 1
Ca1 Ca 0.750 0.208 0.995 1
Ca2 Ca 0.250 0.792 0.005 1
Bi1 Bi 0.750 0.722 0.247 1
Bi2 Bi 0.250 0.278 0.753 1
Cs1 Cs 0.750 0.760 0.679 1
Cs2 Cs 0.250 0.240 0.321 1
# E_tot = -32.63 eV per formula unit
# total moment = 0.000 Bohr magnetons per cell
# raw formation energy = -1.836 eV per atom
# crystal system = monoclinic


(3)
# BaSrLiPd (PBE, optimized geometry)
data_BaSrLiPd
_cell_length_a 5.615
_cell_length_b 5.615
_cell_length_c 5.615
_cell_angle_alpha 60.00
_cell_angle_beta 60.00
_cell_angle_gamma 60.00
_space_group_name_H-M_alt 'P 1'
_space_group_IT_number 1
loop_
_space_group_symop_operation_xyz
'x,y,z'
loop_
_atom_site_label
_atom_site_type_symbol
_atom_site_fract_x
_atom_site_fract_y
_atom_site_fract_z
_atom_site_occupancy
Li1 Li 0.500 0.500 0.500 1
Ba1 Ba 0.750 0.750 0.750 1
Pd1 Pd 0.000 0.000 0.000 1
Sr1 Sr 0.250 0.250 0.250 1
# E_tot = -11.54 eV per formula unit
# total moment = 0.000 Bohr magnetons per cell
# ΔE_f = -207 meV per atom
# crystal system = cubic
# polymorph energy (0 for the lowest one) = 0.1134 eV/atom


(4)
# La2GdTl (PBE, optimized geometry)
data_La2GdTl
_cell_length_a 4.304
_cell_length_b 4.304
_cell_length_c 7.059
_cell_angle_alpha 90.00
_cell_angle_beta 90.00
_cell_angle_gamma 90.00
_space_group_name_H-M_alt 'P 1'
_space_group_IT_number 1
loop_
_space_group_symop_operation_xyz
'x,y,z'
loop_
_atom_site_label
_atom_site_type_symbol
_atom_site_fract_x
_atom_site_fract_y
_atom_site_fract_z
_atom_site_occupancy
La1 La 0.000 0.000 0.233 1
La2 La 0.000 0.000 0.767 1
Tl1 Tl 0.500 0.500 0.000 1
Gd1 Gd 0.500 0.500 0.500 1
# E_tot = -26.94 eV per formula unit
# total moment = 7.847 Bohr magnetons per cell
# ΔE_f = -160 meV per atom
# crystal system = tetragonal
# polymorph energy (0 for the lowest one) = 0.0000 eV/atom


(5)
# TbMnSn2Se5 (PBE, optimized geometry)
data_TbMnSn2Se5
_cell_length_a 4.123
_cell_length_b 9.575
_cell_length_c 13.229
_cell_angle_alpha 90.00
_cell_angle_beta 90.00
_cell_angle_gamma 102.43
_space_group_name_H-M_alt 'P 1'
_space_group_IT_number 1
loop_
_space_group_symop_operation_xyz
'x,y,z'
loop_
_atom_site_label
_atom_site_type_symbol
_atom_site_fract_x
_atom_site_fract_y
_atom_site_fract_z
_atom_site_occupancy
Se1 Se 0.308 0.615 0.678 1
Se2 Se 0.692 0.385 0.178 1
Se3 Se 0.309 0.618 0.375 1
Se4 Se 0.032 0.063 0.003 1
Se5 Se 0.511 0.022 0.265 1
Se6 Se 0.655 0.310 0.528 1
Se7 Se 0.489 0.978 0.765 1
Se8 Se 0.968 0.937 0.503 1
Se9 Se 0.691 0.382 0.875 1
Se10 Se 0.345 0.690 0.028 1
Sn1 Sn 0.840 0.679 0.177 1
Sn2 Sn 0.909 0.819 0.857 1
Sn3 Sn 0.091 0.181 0.357 1
Sn4 Sn 0.160 0.321 0.677 1
Mn1 Mn 0.435 0.871 0.412 1
Mn2 Mn 0.565 0.129 0.912 1
Tb1 Tb 0.195 0.390 0.029 1
Tb2 Tb 0.805 0.610 0.529 1
# E_tot = -46.18 eV per formula unit
# total moment = 8.027 Bohr magnetons per cell
# raw formation energy = -0.772 eV per atom
# crystal system = orthorhombic


(6)
# AcC2Cl2O4 (PBE, optimized geometry)
data_AcC2Cl2O4
_cell_length_a 4.848
_cell_length_b 4.620
_cell_length_c 8.983
_cell_angle_alpha 90.27
_cell_angle_beta 105.66
_cell_angle_gamma 90.00
_space_group_name_H-M_alt 'P 1'
_space_group_IT_number 1
loop_
_space_group_symop_operation_xyz
'x,y,z'
loop_
_atom_site_label
_atom_site_type_symbol
_atom_site_fract_x
_atom_site_fract_y
_atom_site_fract_z
_atom_site_occupancy
O1 O 0.290 0.136 0.580 1
O2 O 0.578 0.981 0.157 1
O3 O 0.710 0.864 0.420 1
O4 O 0.422 0.019 0.843 1
C1 C 0.349 0.011 0.699 1
C2 C 0.651 0.989 0.301 1
Cl1 Cl 0.897 0.504 0.795 1
Cl2 Cl 0.103 0.496 0.205 1
Ac1 Ac 0.000 0.000 0.000 1
# E_tot = -59.11 eV per formula unit
# total moment = 1.001 Bohr magnetons per cell
# raw formation energy = -1.447 eV per atom
# crystal system = monoclinic


(7)
# KVS2Cl (PBE, optimized geometry)
data_KVS2Cl
_cell_length_a 4.604
_cell_length_b 4.604
_cell_length_c 5.242
_cell_angle_alpha 90.00
_cell_angle_beta 90.00
_cell_angle_gamma 90.00
_space_group_name_H-M_alt 'P 1'
_space_group_IT_number 1
loop_
_space_group_symop_operation_xyz
'x,y,z'
loop_
_atom_site_label
_atom_site_type_symbol
_atom_site_fract_x
_atom_site_fract_y
_atom_site_fract_z
_atom_site_occupancy
S1 S 0.500 0.000 0.000 1
S2 S 0.000 0.500 0.000 1
V1 V 0.000 0.000 0.000 1
Cl1 Cl 0.000 0.000 0.500 1
K1 K 0.500 0.500 0.500 1
# E_tot = -25.18 eV per formula unit
# total moment = 1.032 Bohr magnetons per cell
# raw formation energy = -0.973 eV per atom
# crystal system = tetragonal
# polymorph energy (0 for the lowest one) = 0.0000 eV/atom


(8)
# La12Tb6Cd (PBE, optimized geometry)
data_La12Tb6Cd
_cell_length_a 8.876
_cell_length_b 8.876
_cell_length_c 8.876
_cell_angle_alpha 98.97
_cell_angle_beta 98.97
_cell_angle_gamma 98.97
_space_group_name_H-M_alt 'P 1'
_space_group_IT_number 1
loop_
_space_group_symop_operation_xyz
'x,y,z'
loop_
_atom_site_label
_atom_site_type_symbol
_atom_site_fract_x
_atom_site_fract_y
_atom_site_fract_z
_atom_site_occupancy
Cd1 Cd 0.000 0.000 0.000 1
La1 La 0.832 0.419 0.419 1
La2 La 0.168 0.581 0.581 1
La3 La 0.740 0.000 0.260 1
La4 La 0.419 0.832 0.419 1
La5 La 0.581 0.581 0.168 1
La6 La 0.000 0.740 0.260 1
La7 La 0.260 0.740 0.000 1
La8 La 0.581 0.168 0.581 1
La9 La 0.260 0.000 0.740 1
La10 La 0.740 0.260 0.000 1
La11 La 0.419 0.419 0.832 1
La12 La 0.000 0.260 0.740 1
Tb1 Tb 0.406 0.140 0.140 1
Tb2 Tb 0.860 0.860 0.594 1
Tb3 Tb 0.594 0.860 0.860 1
Tb4 Tb 0.140 0.406 0.140 1
Tb5 Tb 0.140 0.140 0.406 1
Tb6 Tb 0.860 0.594 0.860 1
# E_tot = -85.89 eV per formula unit
# total moment = 0.000 Bohr magnetons per cell
# ΔE_f = 102 meV per atom
# crystal system = trigonal